GGA-PBEsol Mg3Pt, relaxed; total energy = -3.336 eV per atom; DOS at the Fermi energy = 1.28 states/eV/cell; SG = R-3m, No. 166; ΔH_f (0 K) = -7.1 kcal/mol of atoms; spin magnetization = 0.000 μB per atom
1.0
-1.789 -0.096 -2.277
1.803 -5.067 0.025
-3.456 1.368 3.887
Mg Pt
3 1
direct
0.500 0.000 0.500 Mg
0.500 0.500 0.000 Mg
0.000 0.500 0.500 Mg
0.000 0.000 0.000 Pt